## TaHgP2W (PBE-GGA)

Data for a relaxed TaHgP2W crystal.

a = 4.6891 Å, b = 5.1067 Å, c = 4.6891 Å
α = 90.00°, β = 90.00°, γ = 90.00°
Closest atoms and distances in Å follow each position.
Atoms (fractional coordinates):
W1 0.0000 0.5000 0.0000  2 Hg 2.55
Ta1 0.5000 0.5000 0.5000  4 W 3.32, 8 P 3.47
Hg1 0.0000 0.0000 0.0000  4 P 2.34, 2 W 2.55
P1 0.5000 0.0000 0.0000  2 Hg 2.34
P2 0.0000 0.0000 0.5000  2 Hg 2.34

Output
Its final energy is -24.08 eV for the cell shown. The energy of formation is 1143 kJ/mol of formula units. As for the symmetry: P4/mmm, No. 123.

=====

## Sr2YCl (PBE-GGA)

Data for a relaxed Sr2YCl crystal.

a = 3.7919 Å, b = 3.7919 Å, c = 11.9831 Å
α = 90.00°, β = 90.00°, γ = 90.00°
Closest atoms and distances in Å follow each position.
Atoms (fractional coordinates):
Y1 0.0000 0.0000 0.4775  4 Y 3.79, 4 Sr 3.87
Sr1 0.5000 0.5000 0.2442  4 Sr 3.79, 4 Y 3.87
Sr2 0.0000 0.0000 0.9491  4 Cl 3.04
Cl1 0.5000 0.5000 0.8293  4 Sr 3.04

Output
As for the energy above the most stable polymorph in this dataset: 24.28 kJ/mol of atoms. Its final energy is -13.65 eV for the cell shown. Its raw formation energy is -0.493 eV per atom. As for the symmetry: P4mm, No. 99.

=====

## LaTbPt2 (PBE-GGA)

Data for a relaxed LaTbPt2 crystal.

a = 3.8779 Å, b = 4.5610 Å, c = 5.7575 Å
α = 90.00°, β = 109.66°, γ = 90.00°
Closest atoms and distances in Å follow each position.
Atoms (fractional coordinates):
La1 0.7201 0.0000 0.9797  7 Pt 2.94-3.15
Pt1 0.9920 0.0000 0.5224  3 La 2.94-3.15, 2 Pt 3.00, 4 Tb 3.03
Pt2 0.1713 0.5000 0.8820  3 Tb 2.99-3.11, 2 Pt 3.00, 4 La 3.04
Tb1 0.4477 0.5000 0.4339  7 Pt 2.99-3.11

Output
As for the energy above the most stable polymorph in this dataset: 0.00 kJ/mol of atoms. Its final energy is -26.53 eV for the cell shown. The energy of formation is -472 kJ/mol of formula units. As for the symmetry: Amm2, No. 38.

=====

## NbNiAg2 (PBE-GGA)

Data for a relaxed NbNiAg2 crystal.

a = 4.5106 Å, b = 4.5106 Å, c = 4.5106 Å
α = 60.00°, β = 60.00°, γ = 60.00°
Closest atoms and distances in Å follow each position.
Atoms (fractional coordinates):
Nb1 0.5000 0.5000 0.5000  8 Ag 2.76
Ag1 0.7500 0.7500 0.7500  4 Nb 2.76, 4 Ni 2.76
Ag2 0.2500 0.2500 0.2500  4 Nb 2.76, 4 Ni 2.76
Ni1 0.0000 0.0000 0.0000  8 Ag 2.76

Output
Its final energy is -19.86 eV for the cell shown. The energy of formation is 164 kJ/mol of formula units. As for the symmetry: Fm-3m, No. 225.

=====

## ReHg2Rh (PBE-GGA)

Data for a relaxed ReHg2Rh crystal.

a = 2.8812 Å, b = 2.8812 Å, c = 8.4114 Å
α = 90.00°, β = 90.00°, γ = 90.00°
Closest atoms and distances in Å follow each position.
Atoms (fractional coordinates):
Rh1 0.5000 0.5000 0.5000  8 Hg 2.88, 4 Rh 2.88
Hg1 0.0000 0.0000 0.2587  4 Rh 2.88, 4 Hg 2.88, 4 Re 2.98
Hg2 0.0000 0.0000 0.7413  4 Rh 2.88, 4 Hg 2.88, 4 Re 2.98
Re1 0.5000 0.5000 0.0000  4 Re 2.88, 8 Hg 2.98

Output
As for the energy above the most stable polymorph in this dataset: 43.99 kJ/mol of atoms. Its final energy is -17.49 eV for the cell shown. The energy of formation is 281 kJ/mol of formula units. As for the symmetry: P4/mmm, No. 123.

=====

## Tl2Cd2I (PBE-GGA)

Data for a relaxed Tl2Cd2I crystal.

a = 9.1666 Å, b = 9.1666 Å, c = 3.9736 Å
α = 90.00°, β = 90.00°, γ = 90.00°
Closest atoms and distances in Å follow each position.
Atoms (fractional coordinates):
Tl1 0.3166 0.8166 0.0000  6 Cd 3.22-3.47, 2 I 3.35
Tl2 0.1834 0.3166 0.0000  6 Cd 3.22-3.47, 2 I 3.35
Tl3 0.8166 0.6834 0.0000  6 Cd 3.22-3.47, 2 I 3.35
Tl4 0.6834 0.1834 0.0000  6 Cd 3.22-3.47, 2 I 3.35
Cd1 0.6207 0.8793 0.5000  1 Cd 3.13, 6 Tl 3.22-3.47
Cd2 0.3793 0.1207 0.5000  1 Cd 3.13, 6 Tl 3.22-3.47
Cd3 0.1207 0.6207 0.5000  1 Cd 3.13, 6 Tl 3.22-3.47
Cd4 0.8793 0.3793 0.5000  1 Cd 3.13, 6 Tl 3.22-3.47
I1 0.0000 0.0000 0.0000  4 Tl 3.35
I2 0.5000 0.5000 0.0000  4 Tl 3.35

Output
As for the energy above the most stable polymorph in this dataset: 2.21 kJ/mol of atoms. Its final energy is -16.92 eV for the cell shown. Its raw formation energy is -0.069 eV per atom. As for the symmetry: P4/mbm, No. 127.

=====

## LaZnPd3 (PBE-GGA)

Data for a relaxed LaZnPd3 crystal.

a = 4.7284 Å, b = 4.7284 Å, c = 4.7284 Å
α = 90.00°, β = 90.00°, γ = 90.00°
Closest atoms and distances in Å follow each position.
Atoms (fractional coordinates):
Pd1 0.5000 0.0000 0.0000  2 Zn 2.36
Pd2 0.0000 0.0000 0.5000  2 Zn 2.36
Pd3 0.0000 0.5000 0.0000  2 Zn 2.36
Zn1 0.0000 0.0000 0.0000  6 Pd 2.36
La1 0.5000 0.5000 0.5000  12 Pd 3.34

Output
As for the energy above the most stable polymorph in this dataset: 20.49 kJ/mol of atoms. Its final energy is -23.69 eV for the cell shown. The energy of formation is -184 kJ/mol of formula units. As for the symmetry: Pm-3m, No. 221.

=====

## TaSi2Os (PBE-GGA)

Data for a relaxed TaSi2Os crystal.

a = 8.3162 Å, b = 8.3162 Å, c = 8.3162 Å
α = 20.22°, β = 20.22°, γ = 20.22°
Closest atoms and distances in Å follow each position.
Atoms (fractional coordinates):
Si1 0.2540 0.2540 0.2540  3 Si 2.60, 3 Ta 2.69
Si2 0.0016 0.0016 0.0016  3 Os 2.49, 3 Si 2.60
Ta1 0.5013 0.5013 0.5013  3 Si 2.69, 3 Os 2.80, 6 Ta 2.92
Os1 0.7430 0.7430 0.7430  3 Si 2.49

Output
Its final energy is -34.28 eV for the cell shown. Its raw formation energy is -0.088 eV per atom. As for the symmetry: R3m, No. 160.

=====

## TeRu3Br (PBE-GGA)

Data for a relaxed TeRu3Br crystal.

a = 4.9397 Å, b = 4.9397 Å, c = 4.9397 Å
α = 90.00°, β = 90.00°, γ = 90.00°
Closest atoms and distances in Å follow each position.
Atoms (fractional coordinates):
Br1 0.5000 0.5000 0.5000  12 Ru 3.49
Ru1 0.5000 0.0000 0.0000  2 Te 2.47
Ru2 0.0000 0.0000 0.5000  2 Te 2.47
Ru3 0.0000 0.5000 0.0000  2 Te 2.47
Te1 0.0000 0.0000 0.0000  6 Ru 2.47

Output
Its final energy is -24.80 eV for the cell shown. Its raw formation energy is 1.569 eV per atom. As for the symmetry: Pm-3m, No. 221.

=====

## NaCa2CdIr (PBE-GGA)

Data for a relaxed NaCa2CdIr crystal.

a = 5.4449 Å, b = 5.4449 Å, c = 5.3885 Å
α = 90.00°, β = 90.00°, γ = 90.00°
Closest atoms and distances in Å follow each position.
Atoms (fractional coordinates):
Ca1 0.5000 0.0000 0.0000  2 Ir 2.72
Ca2 0.0000 0.5000 0.0000  2 Ir 2.72
Na1 0.5000 0.5000 0.5000  8 Ca 3.83, 4 Cd 3.85
Cd1 0.0000 0.0000 0.5000  2 Ir 2.69
Ir1 0.0000 0.0000 0.0000  2 Cd 2.69, 4 Ca 2.72

Output
Its final energy is -15.79 eV for the cell shown. The energy of formation is -67 kJ/mol of formula units. As for the symmetry: P4/mmm, No. 123.

=====

## AlZnGa (PBE-GGA)

Data for a relaxed AlZnGa crystal.

a = 2.8541 Å, b = 2.8541 Å, c = 6.4717 Å
α = 102.74°, β = 102.74°, γ = 90.00°
Closest atoms and distances in Å follow each position.
Atoms (fractional coordinates):
Al1 0.6726 0.6726 0.3451  4 Zn 2.80, 4 Al 2.85, 4 Ga 2.96
Ga1 0.9969 0.9969 0.9937  4 Ga 2.85, 4 Zn 2.87, 4 Al 2.96
Zn1 0.3306 0.3306 0.6612  4 Al 2.80, 4 Zn 2.85, 4 Ga 2.87

Output
Its final energy is -7.94 eV for the cell shown. The energy of formation is 10 kJ/mol of formula units. As for the symmetry: I4mm, No. 107.

=====

## Nd2IrAu (PBE-GGA)

Data for a relaxed Nd2IrAu crystal.

a = 4.5398 Å, b = 5.9064 Å, c = 7.9682 Å
α = 110.96°, β = 90.00°, γ = 90.00°
Closest atoms and distances in Å follow each position.
Atoms (fractional coordinates):
Nd1 0.7500 0.2135 0.9393  4 Ir 2.99-3.32, 3 Au 3.13-3.14
Nd2 0.2500 0.7865 0.0607  4 Ir 2.99-3.32, 3 Au 3.13-3.14
Nd3 0.2500 0.7648 0.5778  3 Ir 3.00-3.13, 4 Au 3.08-3.14
Nd4 0.7500 0.2352 0.4222  3 Ir 3.00-3.13, 4 Au 3.08-3.14
Ir1 0.2500 0.3291 0.2104  2 Au 2.97, 7 Nd 2.99-3.32
Ir2 0.7500 0.6709 0.7896  2 Au 2.97, 7 Nd 2.99-3.32
Au1 0.7500 0.6770 0.2907  2 Ir 2.97, 7 Nd 3.08-3.14
Au2 0.2500 0.3230 0.7093  2 Ir 2.97, 7 Nd 3.08-3.14

Output
Its final energy is -49.35 eV for the cell shown. The energy of formation is -290 kJ/mol of formula units. As for the symmetry: P2_1/m, No. 11.